{
  "formula": "Zr2IrPd2",
  "functional": "PBE-GGA",
  "state": "relaxed",
  "lattice_angstrom": [[-3.071, 5.769, 2.723], [3.071, -5.769, 2.723], [3.071, 5.769, -2.723]],
  "species": ["Zr", "Zr", "Zr", "Zr", "Ir", "Ir", "Pd", "Pd", "Pd", "Pd"],
  "frac_coords": [[0.164, 0.213, 0.377], [0.336, 0.713, 0.049], [0.664, 0.287, 0.951], [0.836, 0.787, 0.623], [0.250, 0.250, 0.000], [0.750, 0.750, 0.000], [0.102, 0.649, 0.751], [0.398, 0.149, 0.546], [0.602, 0.851, 0.454], [0.898, 0.351, 0.249]],
  "final_energy_ev_per_atom": -7.792,
  "formation_energy_mev_per_atom": -523.7,
  "rho_g_cm3": 10.1,
  "dos_at_fermi_per_ev_cell": 7.59,
  "space_group": "Ibam (72)",
  "m_tot_mub_per_fu": 0.0,
  "e_above_lowest_polymorph_ev_per_atom": 0.132
}